(1)
Here is a relaxed BaLi2DyBr8 crystal from the Alexandria database. Energies are from GGA-PBE.

Calculated values
Formation energy without anion corrections, eV per atom: -1.54
Space-group type: P-3, No. 147
Raw total energy, Ha/atom: -0.1294
Size of the total moment, μB per atom: 0.09

abc: 7.025 7.025 9.150
angles: 90.00 90.00 120.00
Atoms (fractional coordinates):
Ba 0.000 0.000 0.000
Li 0.333 0.667 0.724
Li 0.667 0.333 0.276
Dy 0.000 0.000 0.500
Br 0.015 0.698 0.309
Br 0.302 0.317 0.309
Br 0.317 0.015 0.691
Br 0.333 0.667 0.998
Br 0.667 0.333 0.002
Br 0.683 0.985 0.309
Br 0.698 0.683 0.691
Br 0.985 0.302 0.691

(2)
Here is a relaxed Ba2DyBr2O2 crystal from the Alexandria database. Energies are from GGA-PBE.

Calculated values
Formation energy without anion corrections, eV per atom: -2.39
Space-group type: I4/mmm, No. 139
Raw total energy, Ha/atom: -0.2017
Size of the total moment, μB per atom: 0.08

abc: 4.558 4.558 16.988
angles: 90.00 90.00 90.00
Atoms (fractional coordinates):
Ba 0.000 0.000 0.109
Ba 0.000 0.000 0.891
Ba 0.500 0.500 0.391
Ba 0.500 0.500 0.609
Dy 0.000 0.000 0.500
Dy 0.500 0.500 0.000
Br 0.000 0.000 0.319
Br 0.000 0.000 0.681
Br 0.500 0.500 0.181
Br 0.500 0.500 0.819
O 0.000 0.500 0.000
O 0.000 0.500 0.500
O 0.500 0.000 0.000
O 0.500 0.000 0.500

(3)
Here is a relaxed KBaErBr6 crystal from the Alexandria database. Energies are from GGA-PBE.

Calculated values
Formation energy without anion corrections, eV per atom: -1.96
Space-group type: P-31c, No. 163
Raw total energy, Ha/atom: -0.1438
Size of the total moment, μB per atom: 0.00

abc: 7.949 7.949 13.675
angles: 90.00 90.00 120.00
Atoms (fractional coordinates):
K 0.000 0.000 0.000
K 0.000 0.000 0.500
Ba 0.333 0.667 0.250
Ba 0.667 0.333 0.750
Er 0.333 0.667 0.750
Er 0.667 0.333 0.250
Br 0.043 0.382 0.632
Br 0.043 0.661 0.868
Br 0.339 0.382 0.868
Br 0.339 0.957 0.632
Br 0.382 0.043 0.132
Br 0.382 0.339 0.368
Br 0.618 0.661 0.632
Br 0.618 0.957 0.868
Br 0.661 0.043 0.368
Br 0.661 0.618 0.132
Br 0.957 0.339 0.132
Br 0.957 0.618 0.368

(4)
Here is a relaxed BaLiErBr6 crystal from the Alexandria database. Energies are from GGA-PBE.

Calculated values
Formation energy without anion corrections, eV per atom: -1.89
Space-group type: P-31c, No. 163
Raw total energy, Ha/atom: -0.1447
Size of the total moment, μB per atom: 0.00

abc: 7.211 7.211 14.050
angles: 90.00 90.00 120.00
Atoms (fractional coordinates):
Ba 0.000 0.000 0.000
Ba 0.000 0.000 0.500
Li 0.333 0.667 0.250
Li 0.667 0.333 0.750
Er 0.333 0.667 0.750
Er 0.667 0.333 0.250
Br 0.000 0.367 0.137
Br 0.000 0.367 0.637
Br 0.000 0.633 0.363
Br 0.000 0.633 0.863
Br 0.367 0.000 0.137
Br 0.367 0.000 0.637
Br 0.367 0.367 0.363
Br 0.367 0.367 0.863
Br 0.633 0.000 0.363
Br 0.633 0.000 0.863
Br 0.633 0.633 0.137
Br 0.633 0.633 0.637

(5)
Here is a relaxed BaLi2ErBr8 crystal from the Alexandria database. Energies are from GGA-PBE.

Calculated values
Formation energy without anion corrections, eV per atom: -1.54
Space-group type: P-3, No. 147
Raw total energy, Ha/atom: -0.1293
Size of the total moment, μB per atom: 0.09

abc: 7.009 7.009 9.101
angles: 90.00 90.00 120.00
Atoms (fractional coordinates):
Ba 0.000 0.000 0.000
Li 0.333 0.667 0.721
Li 0.667 0.333 0.279
Er 0.000 0.000 0.500
Br 0.017 0.699 0.311
Br 0.301 0.317 0.311
Br 0.317 0.017 0.689
Br 0.333 0.667 0.997
Br 0.667 0.333 0.003
Br 0.683 0.983 0.311
Br 0.699 0.683 0.689
Br 0.983 0.301 0.689

(6)
Here is a relaxed RbBa2ErBr8 crystal from the Alexandria database. Energies are from GGA-PBE.

Calculated values
Formation energy without anion corrections, eV per atom: -1.98
Space-group type: P2/m, No. 10
Raw total energy, Ha/atom: -0.1425
Size of the total moment, μB per atom: 0.00

abc: 7.086 9.969 7.232
angles: 90.00 90.51 90.00
Atoms (fractional coordinates):
Rb 0.000 0.000 0.000
Ba 0.500 0.257 0.500
Ba 0.500 0.743 0.500
Er 0.000 0.500 0.000
Br 0.226 0.297 0.856
Br 0.226 0.703 0.856
Br 0.233 0.500 0.322
Br 0.251 0.000 0.398
Br 0.749 0.000 0.602
Br 0.767 0.500 0.678
Br 0.774 0.297 0.144
Br 0.774 0.703 0.144

Repeat the fourth record exactly.
Here is a relaxed BaLiErBr6 crystal from the Alexandria database. Energies are from GGA-PBE.

Calculated values
Formation energy without anion corrections, eV per atom: -1.89
Space-group type: P-31c, No. 163
Raw total energy, Ha/atom: -0.1447
Size of the total moment, μB per atom: 0.00

abc: 7.211 7.211 14.050
angles: 90.00 90.00 120.00
Atoms (fractional coordinates):
Ba 0.000 0.000 0.000
Ba 0.000 0.000 0.500
Li 0.333 0.667 0.250
Li 0.667 0.333 0.750
Er 0.333 0.667 0.750
Er 0.667 0.333 0.250
Br 0.000 0.367 0.137
Br 0.000 0.367 0.637
Br 0.000 0.633 0.363
Br 0.000 0.633 0.863
Br 0.367 0.000 0.137
Br 0.367 0.000 0.637
Br 0.367 0.367 0.363
Br 0.367 0.367 0.863
Br 0.633 0.000 0.363
Br 0.633 0.000 0.863
Br 0.633 0.633 0.137
Br 0.633 0.633 0.637

Number 2 is which compound? Ba2DyBr2O2

Which value of size of the total moment does entry 3 give? 0.00 μB per atom